[1]
ScTlB3: optimized geometry, GGA-PBE.

Total energy ... -3.886 eV per atom
Magnetization ... 0.00 μB per cell
Calculated formation energy ... 1860 meV/atom

Lattice parameters (Å, degrees): 4.594 4.594 4.594 90.00 90.00 90.00
Space group Pm-3m (No. 221)
One atom of each set of equivalent atoms:
Sc: 0.000 0.000 0.000 x1
Tl: 0.500 0.500 0.500 x1
B: 0.000 0.000 0.500 x3

***

[2]
BaZr2ZnSb: optimized geometry, GGA-PBE.

Total energy ... -4.471 eV per atom
Magnetization ... 1.50 μB per cell
ΔE_f (raw) ... 39.80 kJ per mole of atoms

Lattice parameters (Å, degrees): 5.194 5.194 5.463 90.00 90.00 90.00
Space group P4/mmm (No. 123)
One atom of each set of equivalent atoms:
Ba: 0.000 0.000 0.000 x1
Zr: 0.000 0.500 0.500 x2
Zn: 0.500 0.500 0.500 x1
Sb: 0.500 0.500 0.000 x1

***

[3]
SrGe2Pd2Pt: optimized geometry, GGA-PBE.

Total energy ... -4.926 eV per atom
Magnetization ... 0.00 μB per cell
Calculated formation energy ... -368 meV/atom

Lattice parameters (Å, degrees): 4.772 4.772 5.806 90.00 90.00 90.00
Space group P4/mmm (No. 123)
One atom of each set of equivalent atoms:
Sr: 0.000 0.000 0.000 x1
Ge: 0.000 0.500 0.500 x2
Pd: 0.500 0.500 0.253 x2
Pt: 0.000 0.000 0.500 x1

***

[4]
TiCrMo2Rh: optimized geometry, GGA-PBE.

Total energy ... -7.894 eV per atom
Magnetization ... 2.36 μB per cell
Calculated formation energy ... 1412 meV/atom

Lattice parameters (Å, degrees): 4.718 4.718 4.484 90.00 90.00 90.00
Space group P4/mmm (No. 123)
One atom of each set of equivalent atoms:
Ti: 0.000 0.000 0.000 x1
Cr: 0.500 0.500 0.000 x1
Mo: 0.000 0.500 0.500 x2
Rh: 0.500 0.500 0.500 x1

***

[5]
Mn2ZnMoN: optimized geometry, GGA-PBE.

Total energy ... -7.890 eV per atom
Magnetization ... 6.47 μB per cell
ΔE_f (raw) ... -13.10 kJ per mole of atoms

Lattice parameters (Å, degrees): 3.935 3.935 4.126 90.00 90.00 90.00
Space group P4/mmm (No. 123)
One atom of each set of equivalent atoms:
Mn: 0.000 0.500 0.000 x2
Zn: 0.000 0.000 0.500 x1
Mo: 0.500 0.500 0.500 x1
N: 0.500 0.500 0.000 x1

***

[6]
InWBr2: optimized geometry, GGA-PBE.

Total energy ... -4.454 eV per atom
Magnetization ... 0.00 μB per cell
ΔE_f (raw) ... 29.45 kJ per mole of atoms

Lattice parameters (Å, degrees): 5.666 3.270 11.376 90.00 98.21 90.00
Space group C2/m (No. 12)
One atom of each set of equivalent atoms:
In: 0.000 0.000 0.000 x2
W: 0.000 0.500 0.500 x2
Br: 0.214 0.000 0.664 x4

***

[7]
Na2InGeIr: optimized geometry, GGA-PBE.

Total energy ... -3.108 eV per atom
Magnetization ... 0.00 μB per cell
Calculated formation energy ... 663 meV/atom

Lattice parameters (Å, degrees): 5.293 5.293 5.128 90.00 90.00 90.00
Space group P4/mmm (No. 123)
One atom of each set of equivalent atoms:
Na: 0.000 0.500 0.000 x2
In: 0.000 0.000 0.500 x1
Ge: 0.500 0.500 0.500 x1
Ir: 0.000 0.000 0.000 x1

***

[8]
BPt3Rh: optimized geometry, GGA-PBE.

Total energy ... -6.555 eV per atom
Magnetization ... 0.00 μB per cell
Calculated formation energy ... -124 meV/atom

Lattice parameters (Å, degrees): 8.623 7.677 5.576 90.00 130.22 90.00
Space group C2/m (No. 12)
One atom of each set of equivalent atoms:
B: 0.245 0.000 0.246 x4
Pt: 0.000 0.500 0.250 x4
Pt: 0.249 0.231 0.749 x8
Rh: 0.000 0.000 0.250 x4